This record from the Alexandria database describes an optimized crystal structure of Pu2AlTc. The functional is PBE-GGA.

The value obtained for the energy relative to the elements is -145.3 meV per atom. The calculation puts the total energy at -10.838 eV per atom.

The structure belongs to space group Cmcm (No. 63); the cell edges are 9.0373, 6.7995 and 5.2078 Å and the angles 90.00°, 90.00° and 90.00°. The inequivalent atoms are Pu at (0.1952, 0.1604, 0.2500), Al at (0.0000, 0.5000, 0.0000) and Tc at (0.0000, 0.1298, 0.7500).